1.
Below is a geometry-optimized ScHg2 structure, with properties calculated at the PBE-GGA level.

* formation energy: -0.150 eV/atom
* D(E_F): 5.62 states/eV/cell

```
data_ScHg2
_chemical_formula_sum 'Sc2 Hg4'
_symmetry_space_group_name_H-M 'P 1'
_symmetry_Int_Tables_number 1
_cell_length_a 7.507
_cell_length_b 7.507
_cell_length_c 5.718
_cell_angle_alpha 90.00
_cell_angle_beta 90.00
_cell_angle_gamma 153.26
loop_
_symmetry_equiv_pos_as_xyz
'x,y,z'
loop_
_atom_site_label
_atom_site_fract_x
_atom_site_fract_y
_atom_site_fract_z
Sc1 0.209 0.791 0.750
Sc2 0.791 0.209 0.250
Hg1 0.871 0.129 0.750
Hg2 0.129 0.871 0.250
Hg3 0.453 0.547 0.250
Hg4 0.547 0.453 0.750
```


2.
Below is a geometry-optimized CdHSeN2 structure, with properties calculated at the PBE-GGA level.

* energy above the most stable polymorph in this dataset: 0 meV/atom
* D(E_F): 1.92 states/eV/cell

```
data_CdHSeN2
_chemical_formula_sum 'Cd1 H1 Se1 N2'
_symmetry_space_group_name_H-M 'P 1'
_symmetry_Int_Tables_number 1
_cell_length_a 4.219
_cell_length_b 4.219
_cell_length_c 3.310
_cell_angle_alpha 90.00
_cell_angle_beta 90.00
_cell_angle_gamma 90.00
loop_
_symmetry_equiv_pos_as_xyz
'x,y,z'
loop_
_atom_site_label
_atom_site_fract_x
_atom_site_fract_y
_atom_site_fract_z
H1 0.000 0.000 0.000
N1 0.000 0.500 0.000
N2 0.500 0.000 0.000
Se1 0.000 0.000 0.500
Cd1 0.500 0.500 0.500
```


3.
Below is a geometry-optimized LaTbCoHg structure, with properties calculated at the PBE-GGA level.

* formation energy: -0.156 eV/atom
* D(E_F): 3.53 states/eV/cell

```
data_LaTbCoHg
_chemical_formula_sum 'La1 Tb1 Co1 Hg1'
_symmetry_space_group_name_H-M 'P 1'
_symmetry_Int_Tables_number 1
_cell_length_a 5.177
_cell_length_b 5.177
_cell_length_c 5.177
_cell_angle_alpha 60.00
_cell_angle_beta 60.00
_cell_angle_gamma 60.00
loop_
_symmetry_equiv_pos_as_xyz
'x,y,z'
loop_
_atom_site_label
_atom_site_fract_x
_atom_site_fract_y
_atom_site_fract_z
Co1 0.250 0.250 0.250
Tb1 0.000 0.000 0.000
Hg1 0.750 0.750 0.750
La1 0.500 0.500 0.500
```


4.
Below is a geometry-optimized MnTeI6 structure, with properties calculated at the PBE-GGA level.

* energy above the most stable polymorph in this dataset: 9 meV/atom

```
data_MnTeI6
_chemical_formula_sum 'Mn1 Te1 I6'
_symmetry_space_group_name_H-M 'P 1'
_symmetry_Int_Tables_number 1
_cell_length_a 7.440
_cell_length_b 7.440
_cell_length_c 7.862
_cell_angle_alpha 61.76
_cell_angle_beta 61.76
_cell_angle_gamma 60.00
loop_
_symmetry_equiv_pos_as_xyz
'x,y,z'
loop_
_atom_site_label
_atom_site_fract_x
_atom_site_fract_y
_atom_site_fract_z
Mn1 0.500 0.500 0.500
Te1 0.000 0.000 0.000
I1 0.102 0.413 0.740
I2 0.745 0.102 0.740
I3 0.587 0.255 0.260
I4 0.255 0.898 0.260
I5 0.898 0.587 0.260
I6 0.413 0.745 0.740
```


5.
Below is a geometry-optimized BaGe3Pb structure, with properties calculated at the PBE-GGA level.

* energy above the most stable polymorph in this dataset: 0 meV/atom
* formation energy: 0.379 eV/atom
* D(E_F): 4.61 states/eV/cell

```
data_BaGe3Pb
_chemical_formula_sum 'Ba1 Ge3 Pb1'
_symmetry_space_group_name_H-M 'P 1'
_symmetry_Int_Tables_number 1
_cell_length_a 5.518
_cell_length_b 5.518
_cell_length_c 5.518
_cell_angle_alpha 90.00
_cell_angle_beta 90.00
_cell_angle_gamma 90.00
loop_
_symmetry_equiv_pos_as_xyz
'x,y,z'
loop_
_atom_site_label
_atom_site_fract_x
_atom_site_fract_y
_atom_site_fract_z
Pb1 0.000 0.000 0.000
Ge1 0.000 0.500 0.000
Ge2 0.000 0.000 0.500
Ge3 0.500 0.000 0.000
Ba1 0.500 0.500 0.500
```


6.
Below is a geometry-optimized YBeRu4 structure, with properties calculated at the PBE-GGA level.

* formation energy: 0.203 eV/atom
* D(E_F): 9.28 states/eV/cell

```
data_YBeRu4
_chemical_formula_sum 'Y1 Be1 Ru4'
_symmetry_space_group_name_H-M 'P 1'
_symmetry_Int_Tables_number 1
_cell_length_a 5.182
_cell_length_b 5.182
_cell_length_c 5.182
_cell_angle_alpha 60.00
_cell_angle_beta 60.00
_cell_angle_gamma 60.00
loop_
_symmetry_equiv_pos_as_xyz
'x,y,z'
loop_
_atom_site_label
_atom_site_fract_x
_atom_site_fract_y
_atom_site_fract_z
Y1 0.250 0.250 0.250
Be1 0.000 0.000 0.000
Ru1 0.626 0.626 0.122
Ru2 0.626 0.122 0.626
Ru3 0.626 0.626 0.626
Ru4 0.122 0.626 0.626
```


7.
Below is a geometry-optimized Li2Ca2AcSn2 structure, with properties calculated at the PBE-GGA level.

* formation energy: -0.529 eV/atom
* D(E_F): 3.26 states/eV/cell

```
data_Li2Ca2AcSn2
_chemical_formula_sum 'Li2 Ca2 Ac1 Sn2'
_symmetry_space_group_name_H-M 'P 1'
_symmetry_Int_Tables_number 1
_cell_length_a 4.960
_cell_length_b 4.960
_cell_length_c 9.918
_cell_angle_alpha 75.52
_cell_angle_beta 75.52
_cell_angle_gamma 60.00
loop_
_symmetry_equiv_pos_as_xyz
'x,y,z'
loop_
_atom_site_label
_atom_site_fract_x
_atom_site_fract_y
_atom_site_fract_z
Li1 0.586 0.586 0.241
Li2 0.414 0.414 0.759
Ca1 0.132 0.132 0.604
Ca2 0.868 0.868 0.396
Ac1 0.000 0.000 0.000
Sn1 0.743 0.743 0.770
Sn2 0.257 0.257 0.230
```


8.
Below is a geometry-optimized TbPmMnZn structure, with properties calculated at the PBE-GGA level.

* formation energy: -0.020 eV/atom
* D(E_F): 5.12 states/eV/cell

```
data_TbPmMnZn
_chemical_formula_sum 'Tb1 Pm1 Mn1 Zn1'
_symmetry_space_group_name_H-M 'P 1'
_symmetry_Int_Tables_number 1
_cell_length_a 5.096
_cell_length_b 5.096
_cell_length_c 5.096
_cell_angle_alpha 60.00
_cell_angle_beta 60.00
_cell_angle_gamma 60.00
loop_
_symmetry_equiv_pos_as_xyz
'x,y,z'
loop_
_atom_site_label
_atom_site_fract_x
_atom_site_fract_y
_atom_site_fract_z
Zn1 0.000 0.000 0.000
Mn1 0.500 0.500 0.500
Tb1 0.750 0.750 0.750
Pm1 0.250 0.250 0.250
```


9.
Below is a geometry-optimized HfTa3Nb structure, with properties calculated at the PBE-GGA level.

* energy above the most stable polymorph in this dataset: 146 meV/atom
* formation energy: 0.202 eV/atom
* D(E_F): 22.29 states/eV/cell

```
data_HfTa3Nb
_chemical_formula_sum 'Hf4 Ta12 Nb4'
_symmetry_space_group_name_H-M 'P 1'
_symmetry_Int_Tables_number 1
_cell_length_a 5.501
_cell_length_b 8.606
_cell_length_c 8.606
_cell_angle_alpha 79.95
_cell_angle_beta 80.19
_cell_angle_gamma 80.19
loop_
_symmetry_equiv_pos_as_xyz
'x,y,z'
loop_
_atom_site_label
_atom_site_fract_x
_atom_site_fract_y
_atom_site_fract_z
Hf1 0.501 0.508 0.671
Hf2 0.999 0.329 0.492
Hf3 0.499 0.492 0.329
Hf4 0.001 0.671 0.508
Ta1 0.131 0.732 0.862
Ta2 0.369 0.138 0.268
Ta3 0.869 0.268 0.138
Ta4 0.631 0.862 0.732
Ta5 0.394 0.370 0.002
Ta6 0.106 0.998 0.630
Ta7 0.606 0.630 0.998
Ta8 0.894 0.002 0.370
Ta9 0.972 0.440 0.827
Ta10 0.528 0.173 0.560
Ta11 0.028 0.560 0.173
Ta12 0.472 0.827 0.440
Nb1 0.750 0.891 0.109
Nb2 0.250 0.109 0.891
Nb3 0.750 0.152 0.848
Nb4 0.250 0.848 0.152
```


10.
Below is a geometry-optimized Ce3PH structure, with properties calculated at the PBE-GGA level.

* total DFT energy (no corrections): -0.438 Ry/atom
* D(E_F): 26.16 states/eV/cell

```
data_Ce3PH
_chemical_formula_sum 'Ce6 P2 H2'
_symmetry_space_group_name_H-M 'P 1'
_symmetry_Int_Tables_number 1
_cell_length_a 3.761
_cell_length_b 8.189
_cell_length_c 7.832
_cell_angle_alpha 88.75
_cell_angle_beta 118.67
_cell_angle_gamma 90.01
loop_
_symmetry_equiv_pos_as_xyz
'x,y,z'
loop_
_atom_site_label
_atom_site_fract_x
_atom_site_fract_y
_atom_site_fract_z
Ce1 0.401 0.380 0.652
Ce2 0.832 0.313 0.082
Ce3 0.015 0.995 0.265
Ce4 0.599 0.620 0.348
Ce5 0.985 0.005 0.735
Ce6 0.168 0.687 0.918
P1 0.355 0.763 0.605
P2 0.645 0.237 0.395
H1 0.127 0.403 0.877
H2 0.873 0.597 0.123
```


11.
Below is a geometry-optimized Si2AgPbSe6 structure, with properties calculated at the PBE-GGA level.

* total DFT energy (no corrections): -0.303 Ry/atom
* D(E_F): 10.22 states/eV/cell

```
data_Si2AgPbSe6
_chemical_formula_sum 'Si4 Ag2 Pb2 Se12'
_symmetry_space_group_name_H-M 'P 1'
_symmetry_Int_Tables_number 1
_cell_length_a 6.747
_cell_length_b 9.173
_cell_length_c 9.173
_cell_angle_alpha 87.49
_cell_angle_beta 77.96
_cell_angle_gamma 77.96
loop_
_symmetry_equiv_pos_as_xyz
'x,y,z'
loop_
_atom_site_label
_atom_site_fract_x
_atom_site_fract_y
_atom_site_fract_z
Si1 0.259 0.776 0.632
Si2 0.241 0.368 0.224
Si3 0.741 0.224 0.368
Si4 0.759 0.632 0.776
Ag1 0.250 0.291 0.709
Ag2 0.750 0.709 0.291
Pb1 0.250 0.872 0.128
Pb2 0.750 0.128 0.872
Se1 0.190 0.958 0.808
Se2 0.310 0.192 0.042
Se3 0.810 0.042 0.192
Se4 0.690 0.808 0.958
Se5 0.409 0.879 0.414
Se6 0.091 0.586 0.121
Se7 0.591 0.121 0.586
Se8 0.909 0.414 0.879
Se9 0.978 0.705 0.565
Se10 0.522 0.435 0.295
Se11 0.022 0.295 0.435
Se12 0.478 0.565 0.705
```


12.
Below is a geometry-optimized LaScSi structure, with properties calculated at the PBE-GGA level.

* energy above the most stable polymorph in this dataset: 199 meV/atom
* D(E_F): 3.03 states/eV/cell

```
data_LaScSi
_chemical_formula_sum 'La1 Sc1 Si1'
_symmetry_space_group_name_H-M 'P 1'
_symmetry_Int_Tables_number 1
_cell_length_a 4.855
_cell_length_b 4.855
_cell_length_c 4.855
_cell_angle_alpha 60.00
_cell_angle_beta 60.00
_cell_angle_gamma 60.00
loop_
_symmetry_equiv_pos_as_xyz
'x,y,z'
loop_
_atom_site_label
_atom_site_fract_x
_atom_site_fract_y
_atom_site_fract_z
La1 0.000 0.000 0.000
Sc1 0.500 0.500 0.500
Si1 0.250 0.250 0.250
```